CaLaAu3 after structural relaxation, computed with GGA-PBE.

The calculation puts the formation energy at -0.72 eV per formula unit. Its total magnetization is 0.00 μB/cell. The space group is Pm-3m, No. 221.

Cell: 5.5445 5.5445 5.5445 Å, 90.00 90.00 90.00°
Fractional positions:
Ca: 0.5000 0.5000 0.5000
Au: 0.0000 0.5000 0.0000
Au: 0.0000 0.0000 0.5000
Au: 0.5000 0.0000 0.0000
La: 0.0000 0.0000 0.0000


YCBr3 after structural relaxation, computed with GGA-PBE.

As for the uncorrected formation energy: 0.465 eV per atom. Its total magnetization is 0.01 μB/cell. The space group is Pm-3m, No. 221.

Cell: 4.7627 4.7627 4.7627 Å, 90.00 90.00 90.00°
Fractional positions:
Y: 0.5000 0.5000 0.5000
C: 0.0000 0.0000 0.0000
Br: 0.0000 0.5000 0.0000
Br: 0.0000 0.0000 0.5000
Br: 0.5000 0.0000 0.0000